1.
{
  "formula": "BaYTa",
  "functional": "PBE",
  "state": "optimized geometry",
  "spacegroup": "Fmm2, No. 42",
  "cell": [[-2.7002, 3.1791, 7.8083], [-5.4996, 3.3712, 6.0595], [-1.0836, -2.7649, 1.4535]],
  "species": ["Ba", "Ta", "Y"],
  "frac_coords": [[0.9850, 0.9850, 0.0150], [0.3186, 0.3186, 0.6814], [0.6964, 0.6964, 0.3036]]
}

---

2.
{
  "formula": "BaYTa",
  "functional": "PBE",
  "state": "optimized geometry",
  "spacegroup": "P-6m2, No. 187",
  "cell": [[-2.0044, -2.9056, 4.3887], [-0.6456, -1.9928, -5.2281], [2.7146, -1.5097, 0.2403]],
  "species": ["Ba", "Ta", "Y"],
  "frac_coords": [[0.0000, 0.0000, 0.8329], [0.6667, 0.3333, 0.3333], [0.3333, 0.6667, 0.8337]]
}

---

3.
{
  "formula": "Ba2YTa",
  "functional": "PBE",
  "state": "optimized geometry",
  "spacegroup": "Imm2, No. 44",
  "cell": [[-0.5905, -4.0874, -6.0830], [-3.5303, -6.4394, 0.3606], [-0.0303, 7.3307, 0.5637]],
  "species": ["Ba", "Ba", "Ta", "Y"],
  "frac_coords": [[0.0065, 0.0065, 0.0000], [0.7083, 0.2083, 0.5000], [0.4821, 0.4821, 0.0000], [0.3031, 0.8031, 0.5000]]
}

---

4.
{
  "formula": "Ba2YTa",
  "functional": "PBE",
  "state": "optimized geometry",
  "spacegroup": "R-3m, No. 166",
  "cell": [[-4.6829, 3.2968, -11.2385], [-7.6215, 1.8512, -9.8787], [-6.8412, 5.2447, -9.2083]],
  "species": ["Ba", "Ba", "Ta", "Y"],
  "frac_coords": [[0.9904, 0.9904, 0.9904], [0.5096, 0.5096, 0.5096], [0.2500, 0.2500, 0.2500], [0.7500, 0.7500, 0.7500]]
}

---

5.
{
  "formula": "Ba2YTa",
  "functional": "PBE",
  "state": "optimized geometry",
  "spacegroup": "Pmmm, No. 47",
  "cell": [[3.4839, 0.0000, 0.0000], [0.0000, 5.4386, 0.0000], [0.0000, 0.0000, 7.2186]],
  "species": ["Ba", "Ba", "Ta", "Y"],
  "frac_coords": [[0.0000, 0.0000, 0.0183], [0.0000, 0.0000, 0.4817], [0.5000, 0.5000, 0.2500], [0.5000, 0.5000, 0.7500]]
}

---

6.
{
  "formula": "BaYTa",
  "functional": "PBE",
  "state": "optimized geometry",
  "spacegroup": "P3m1, No. 156",
  "cell": [[3.4013, 0.0000, 0.0000], [-1.7006, 2.9456, 0.0000], [0.0000, 0.0000, 8.9958]],
  "species": ["Ba", "Ta", "Y"],
  "frac_coords": [[0.0000, 0.0000, 0.0289], [0.6667, 0.3333, 0.3518], [0.3333, 0.6667, 0.6193]]
}

---

7.
{
  "formula": "Ba2YTa",
  "functional": "PBE",
  "state": "optimized geometry",
  "spacegroup": "Cmmm, No. 65",
  "cell": [[-3.5986, -2.9330, 4.7193], [2.1343, -3.9172, -4.8914], [2.8837, -0.6613, 1.7879]],
  "species": ["Ba", "Ba", "Ta", "Y"],
  "frac_coords": [[0.0000, 0.0000, 0.0000], [0.5000, 0.5000, 0.0000], [0.5000, 0.0000, 0.5000], [0.0000, 0.5000, 0.5000]]
}

---

8.
{
  "formula": "Ba2YTa",
  "functional": "PBE",
  "state": "optimized geometry",
  "spacegroup": "P4mm, No. 99",
  "cell": [[3.5434, 0.0140, 0.0000], [-0.0140, 3.5434, 0.0000], [0.0000, 0.0000, 11.5101]],
  "species": ["Ba", "Ba", "Ta", "Y"],
  "frac_coords": [[0.0000, 0.0000, 0.9793], [0.5000, 0.5000, 0.3041], [0.0000, 0.0000, 0.5248], [0.5000, 0.5000, 0.6918]]
}

---

9.
{
  "formula": "Ba2YTaZn",
  "functional": "PBE",
  "state": "optimized geometry",
  "spacegroup": "P4/mmm, No. 123",
  "cell": [[6.1250, 0.0000, 0.0000], [0.0000, 5.1878, 0.0000], [0.0000, 0.0000, 6.1250]],
  "species": ["Y", "Zn", "Ba", "Ba", "Ta"],
  "frac_coords": [[0.5000, 0.5000, 0.5000], [0.0000, 0.0000, 0.0000], [0.0000, 0.0000, 0.5000], [0.5000, 0.0000, 0.0000], [0.0000, 0.5000, 0.0000]]
}

---

10.
{
  "formula": "BaTa2Zn",
  "functional": "PBE",
  "state": "optimized geometry",
  "spacegroup": "P4/mmm, No. 123",
  "cell": [[4.8322, 0.0000, 0.0000], [0.0000, 4.3085, 0.0000], [0.0000, 0.0000, 4.3085]],
  "species": ["Ba", "Ta", "Ta", "Zn"],
  "frac_coords": [[0.5000, 0.0000, 0.5000], [0.0000, 0.0000, 0.0000], [0.0000, 0.5000, 0.5000], [0.5000, 0.5000, 0.0000]]
}

---

11.
{
  "formula": "BaTaZn3",
  "functional": "PBE",
  "state": "optimized geometry",
  "spacegroup": "Pm-3m, No. 221",
  "cell": [[5.1698, 0.0000, 0.0000], [0.0000, 5.1698, 0.0000], [0.0000, 0.0000, 5.1698]],
  "species": ["Zn", "Zn", "Zn", "Ba", "Ta"],
  "frac_coords": [[0.0000, 0.5000, 0.0000], [0.0000, 0.0000, 0.5000], [0.5000, 0.0000, 0.0000], [0.5000, 0.5000, 0.5000], [0.0000, 0.0000, 0.0000]]
}

---

12.
{
  "formula": "BaTa2Zn",
  "functional": "PBE",
  "state": "optimized geometry",
  "spacegroup": "P2/m, No. 10",
  "cell": [[-1.9470, 4.4586, 0.0241], [-2.5736, -1.1302, 1.1779], [1.3855, 0.5690, 6.6604]],
  "species": ["Ba", "Ta", "Ta", "Zn"],
  "frac_coords": [[0.5000, 0.7500, 0.7500], [0.0000, 0.0598, 0.0897], [0.0000, 0.4402, 0.4103], [0.5000, 0.2500, 0.2500]]
}

---

| no. | M_tot (μB/atom) | ΔE_f (meV per atom) |
| --- | --- | --- |
| 1 | 0.00 | 657 |
| 2 | 0.00 | 908 |
| 3 | 0.48 | 808 |
| 4 | 0.00 | 926 |
| 5 | 0.00 | 977 |
| 6 | 0.00 | 769 |
| 7 | 0.02 | 1003 |
| 8 | 0.10 | 620 |
| 9 | 0.83 | 933 |
| 10 | 0.08 | 1102 |
| 11 | 0.36 | 407 |
| 12 | 0.00 | 775 |